Version P
Density functional theory data (PBE-GGA) for Y2TiB2 after structural relaxation.

Geometry as POSCAR:
```
Y2TiB2
1.0
-4.9205 3.7967 -1.9680
-2.1287 0.4276 6.1470
2.2497 3.2039 0.5562
Y B Ti
4 4 2
direct
0.1837 0.6837 0.5000
0.6837 0.8163 0.5000
0.8163 0.3163 0.5000
0.3163 0.1837 0.5000
0.4049 0.9049 0.0000
0.9049 0.5951 0.0000
0.5951 0.0951 0.0000
0.0951 0.4049 0.0000
0.0000 0.0000 0.0000
0.5000 0.5000 0.0000
```

The value obtained for the magnetic moment is 0.0 μB per formula unit. The density of states at the Fermi level comes out at 2.8 states/eV/f.u. The volume comes out at 84 Å³/f.u.

---

Version Q
Density functional theory data (PBE-GGA) for Y2TiB2 after structural relaxation.

Geometry as POSCAR:
```
Y2TiB2
1.0
-2.0429 -3.5011 -0.0238
2.6363 -1.5564 2.6569
-2.7155 -0.7984 5.3190
Y B Ti
2 2 1
direct
0.7500 0.2500 0.5000
0.2500 0.7500 0.5000
0.4234 0.4234 0.1532
0.5766 0.5766 0.8468
0.0000 0.0000 0.0000
```

The value obtained for the magnetic moment is 0.0 μB per formula unit. The density of states at the Fermi level comes out at 3.6 states/eV/f.u. The volume comes out at 87 Å³/f.u.

---

Which of them is the most stable? Correct choice: version P.

---

Version P
Density functional theory data (PBE-GGA) for YTi3B after structural relaxation.

Geometry as POSCAR:
```
YTi3B
1.0
4.5001 0.0000 0.0000
0.0000 4.5001 0.0000
0.0000 0.0000 4.5001
Y B Ti
1 1 3
direct
0.5000 0.5000 0.5000
0.0000 0.0000 0.0000
0.0000 0.5000 0.0000
0.0000 0.0000 0.5000
0.5000 0.0000 0.0000
```

The value obtained for the magnetic moment is 2.8 μB per formula unit. The density of states at the Fermi level comes out at 6.5 states/eV/f.u. The volume comes out at 91 Å³/f.u.

---

Version Q
Density functional theory data (PBE-GGA) for YTi3B after structural relaxation.

Geometry as POSCAR:
```
YTi3B
1.0
4.7237 0.0000 0.0000
0.0000 4.7237 0.0000
0.0000 0.0000 4.7237
Y B Ti
1 1 3
direct
0.0000 0.0000 0.0000
0.5000 0.5000 0.5000
0.0000 0.5000 0.0000
0.0000 0.0000 0.5000
0.5000 0.0000 0.0000
```

The value obtained for the magnetic moment is 1.3 μB per formula unit. The density of states at the Fermi level comes out at 7.6 states/eV/f.u. The volume comes out at 105 Å³/f.u.

---

Which of them is the most stable? Correct choice: version P.

---

Version P
Density functional theory data (PBE-GGA) for TiZn3B after structural relaxation.

Geometry as POSCAR:
```
TiZn3B
1.0
4.1332 0.0000 0.0000
0.0000 4.1332 0.0000
0.0000 0.0000 4.1332
Zn B Ti
3 1 1
direct
0.0000 0.5000 0.0000
0.0000 0.0000 0.5000
0.5000 0.0000 0.0000
0.0000 0.0000 0.0000
0.5000 0.5000 0.5000
```

The value obtained for the magnetic moment is 0.0 μB per formula unit. The density of states at the Fermi level comes out at 2.9 states/eV/f.u. The volume comes out at 71 Å³/f.u.

---

Version Q
Density functional theory data (PBE-GGA) for TiZn3B after structural relaxation.

Geometry as POSCAR:
```
TiZn3B
1.0
-4.4894 -2.1076 -0.8017
2.2015 -4.4831 -0.5423
-0.4879 -0.8359 4.9297
Zn B Ti
3 1 1
direct
0.0000 0.5000 0.0000
0.0000 0.0000 0.5000
0.5000 0.0000 0.0000
0.5000 0.5000 0.5000
0.0000 0.0000 0.0000
```

The value obtained for the magnetic moment is 2.7 μB per formula unit. The density of states at the Fermi level comes out at 5.9 states/eV/f.u. The volume comes out at 127 Å³/f.u.

---

Which of them is the most stable? Correct choice: version P.

---

Version P
Density functional theory data (PBE-GGA) for Zr3TiB after structural relaxation.

Geometry as POSCAR:
```
Zr3TiB
1.0
4.8274 0.0000 0.0000
0.0000 4.8274 0.0000
0.0000 0.0000 4.8274
B Zr Ti
1 3 1
direct
0.5000 0.5000 0.5000
0.0000 0.5000 0.0000
0.0000 0.0000 0.5000
0.5000 0.0000 0.0000
0.0000 0.0000 0.0000
```

The value obtained for the magnetic moment is 0.0 μB per formula unit. The density of states at the Fermi level comes out at 8.0 states/eV/f.u. The volume comes out at 112 Å³/f.u.

---

Version Q
Density functional theory data (PBE-GGA) for Zr3TiB after structural relaxation.

Geometry as POSCAR:
```
Zr3TiB
1.0
-1.2852 0.0027 -4.4745
2.8658 -3.5747 -0.8253
-3.4363 -2.9823 0.9852
B Zr Ti
1 3 1
direct
0.0000 0.0000 0.0000
0.0000 0.5000 0.0000
0.0000 0.0000 0.5000
0.5000 0.0000 0.0000
0.5000 0.5000 0.5000
```

The value obtained for the magnetic moment is 0.0 μB per formula unit. The density of states at the Fermi level comes out at 10.8 states/eV/f.u. The volume comes out at 101 Å³/f.u.

---

Which of them is the most stable? Correct choice: version Q.

---

Version P
Density functional theory data (PBE-GGA) for ZrTi3B after structural relaxation.

Geometry as POSCAR:
```
ZrTi3B
1.0
-1.1991 0.9499 -4.1196
3.1276 -2.6819 -1.5288
-2.8446 -3.3491 0.0557
B Zr Ti
1 1 3
direct
0.0000 0.0000 0.0000
0.5000 0.5000 0.5000
0.0000 0.5000 0.0000
0.0000 0.0000 0.5000
0.5000 0.0000 0.0000
```

The value obtained for the magnetic moment is 2.5 μB per formula unit. The density of states at the Fermi level comes out at 6.3 states/eV/f.u. The volume comes out at 85 Å³/f.u.

---

Version Q
Density functional theory data (PBE-GGA) for ZrTi3B after structural relaxation.

Geometry as POSCAR:
```
ZrTi3B
1.0
4.7189 0.0000 0.0000
0.0000 4.7189 0.0000
0.0000 0.0000 4.7189
B Zr Ti
1 1 3
direct
0.5000 0.5000 0.5000
0.0000 0.0000 0.0000
0.0000 0.5000 0.0000
0.0000 0.0000 0.5000
0.5000 0.0000 0.0000
```

The value obtained for the magnetic moment is 1.1 μB per formula unit. The density of states at the Fermi level comes out at 7.0 states/eV/f.u. The volume comes out at 105 Å³/f.u.

---

Which of them is the most stable? Correct choice: version P.

---

Version P
Density functional theory data (PBE-GGA) for Tl2VB2 after structural relaxation.

Geometry as POSCAR:
```
Tl2VB2
1.0
-1.0395 -4.9471 -3.5301
5.7229 -2.0022 1.1207
-1.5040 -2.2702 3.6245
Tl B V
4 4 2
direct
0.1720 0.6720 0.5000
0.6720 0.8280 0.5000
0.8280 0.3280 0.5000
0.3280 0.1720 0.5000
0.2514 0.7514 0.0000
0.7514 0.7486 0.0000
0.7486 0.2486 0.0000
0.2486 0.2514 0.0000
0.0000 0.0000 0.0000
0.5000 0.5000 0.0000
```

The value obtained for the magnetic moment is 0.3 μB per formula unit. The density of states at the Fermi level comes out at 3.6 states/eV/f.u. The volume comes out at 86 Å³/f.u.

---

Version Q
Density functional theory data (PBE-GGA) for Tl2VB2 after structural relaxation.

Geometry as POSCAR:
```
Tl2VB2
1.0
4.3502 0.0000 0.0000
0.0000 4.3502 0.0000
2.1751 2.1751 4.5750
Tl B V
2 2 1
direct
0.7500 0.2500 0.5000
0.2500 0.7500 0.5000
0.4123 0.4123 0.1754
0.5877 0.5877 0.8246
0.0000 0.0000 0.0000
```

The value obtained for the magnetic moment is 3.3 μB per formula unit. The density of states at the Fermi level comes out at 3.6 states/eV/f.u. The volume comes out at 87 Å³/f.u.

---

Which of them is the most stable? Correct choice: version P.